# 1
! Tb6YHo2 | Alexandria via LeMat-Bulk | PBE-GGA | optimized geometry; values from VASP
&SYSTEM
  ibrav = 0, nat = 18, ntyp = 3
/
ATOMIC_SPECIES
Tb 158.93 Tb.upf
Y 88.91 Y.upf
Ho 164.93 Ho.upf
CELL_PARAMETERS angstrom
-2.185 5.609 -1.704
-8.562 -0.320 -6.305
-6.589 4.502 7.035
ATOMIC_POSITIONS crystal
Tb 0.243 0.064 0.150
Y 0.750 0.821 0.179
Tb 0.318 0.421 0.990
Ho 0.799 0.372 0.239
Tb 0.596 0.322 0.567
Y 0.250 0.179 0.821
Tb 0.904 0.433 0.678
Ho 0.701 0.761 0.628
Tb 0.404 0.678 0.433
Tb 0.743 0.150 0.064
Tb 0.096 0.567 0.322
Tb 0.757 0.936 0.850
Tb 0.682 0.579 0.010
Ho 0.299 0.239 0.372
Tb 0.818 0.990 0.421
Tb 0.257 0.850 0.936
Ho 0.201 0.628 0.761
Tb 0.182 0.010 0.579
! ΔE_f   233 meV/atom
! Total magnetization   0.0000 μB per atom
! Mass density   7.82 g/cm3
! DOS(E_F)   13.1 states/eV/f.u.
! Polymorph energy (0 for the lowest one)   0.2165 eV/atom
! Raw total energy   -82.6 eV/cell

---

# 2
! Tb4Y5Ho | Alexandria via LeMat-Bulk | PBE-GGA | optimized geometry; values from VASP
&SYSTEM
  ibrav = 0, nat = 10, ntyp = 3
/
ATOMIC_SPECIES
Tb 158.93 Tb.upf
Ho 164.93 Ho.upf
Y 88.91 Y.upf
CELL_PARAMETERS angstrom
-2.434 3.907 4.233
2.199 -1.653 7.409
4.530 6.326 1.386
ATOMIC_POSITIONS crystal
Tb 0.800 0.698 0.603
Tb 0.403 0.397 0.698
Ho 0.218 0.000 0.000
Y 0.185 0.917 0.619
Y 0.101 0.619 0.083
Tb 0.498 0.603 0.302
Y 0.721 0.083 0.381
Y 0.679 0.000 0.000
Y 0.804 0.381 0.917
Tb 0.101 0.302 0.397
! ΔE_f   305 meV/atom
! Total magnetization   0.0000 μB per atom
! Mass density   6.28 g/cm3
! DOS(E_F)   15.8 states/eV/f.u.
! Polymorph energy (0 for the lowest one)   0.2861 eV/atom
! Raw total energy   -52.4 eV/cell